1:
Computed, not measured: an optimized crystal structure of HoMg4Zr at the PBE-GGA level of DFT.

Unit cell a=5.8774 b=5.8774 c=5.8774 alpha=60.00 beta=60.00 gamma=60.00
Positions (direct):
1 Ho 0.0000 0.0000 0.0000
2 Mg 0.3756 0.3756 0.3756
3 Mg 0.3756 0.3756 0.8731
4 Mg 0.3756 0.8731 0.3756
5 Mg 0.8731 0.3756 0.3756
6 Zr 0.7500 0.7500 0.7500

***

2:
Computed, not measured: an optimized crystal structure of HoMg4Zr at the PBE-GGA level of DFT.

Unit cell a=3.1598 b=5.1159 c=8.8488 alpha=90.00 beta=90.02 gamma=90.00
Positions (direct):
1 Ho 0.0000 0.0000 0.0000
2 Mg 0.4984 0.5000 0.8251
3 Mg 0.4989 0.0000 0.6595
4 Mg 0.5011 0.0000 0.3405
5 Mg 0.5016 0.5000 0.1749
6 Zr 0.0000 0.5000 0.5000

***

The least stable of them is 1.